A relaxed Zr3ZnS crystal, computed with GGA-PBE.

The total magnetic moment is 0.000 μB/f.u. As for the crystal system: cubic. The density of states at the Fermi level is 2.08 states/eV/cell. The total energy is -6.58 eV per atom.

a = 4.8030 Å, b = 4.8030 Å, c = 4.8030 Å
α = 90.00°, β = 90.00°, γ = 90.00°
Space group Pm-3m (No. 221)
Unique sites:
1 Zr 0.0000 0.0000 0.5000 [3 per cell]
2 Zn 0.5000 0.5000 0.5000 [1 per cell]
3 S 0.0000 0.0000 0.0000 [1 per cell]